No. 1
Entry from Alexandria via LeMat-Bulk: a relaxed Sm2TiZnO6 crystal (GGA-PBE).

Geometry as POSCAR:
```
Sm2TiZnO6
1.0
5.434 0.000 0.000
0.000 5.735 0.000
-5.377 0.000 7.800
Sm Ti Zn O
4 2 2 12
Cartesian
-0.080 0.378 1.938 Sm
-2.768 2.490 5.838 Sm
2.825 3.245 1.962 Sm
0.137 5.358 5.862 Sm
2.717 0.000 0.000 Ti
0.029 2.868 3.900 Ti
-2.688 0.000 3.900 Zn
0.000 2.868 0.000 Zn
-4.260 1.072 7.394 O
-1.571 1.796 3.494 O
-3.668 4.067 7.346 O
-0.979 4.536 3.446 O
-2.094 0.213 5.918 O
0.595 2.655 2.018 O
-0.538 3.081 5.782 O
2.151 5.522 1.882 O
1.037 1.199 4.354 O
3.725 1.669 0.454 O
1.629 3.939 4.306 O
4.317 4.664 0.406 O
```

Output
Formation energy (no corrections), eV/atom: -2.952
Crystal system: monoclinic
Volume, Å³ per cell: 243.1

***

No. 2
Entry from Alexandria via LeMat-Bulk: a relaxed SmTi4ZnO12 crystal (GGA-PBE).

Geometry as POSCAR:
```
SmTi4ZnO12
1.0
7.884 0.000 0.000
0.000 3.751 3.760
0.000 -3.751 3.760
Sm Ti Zn O
1 4 1 12
Cartesian
0.000 0.000 0.000 Sm
2.108 -1.809 2.111 Ti
2.108 1.809 2.111 Ti
5.776 -1.809 2.111 Ti
5.776 1.809 2.111 Ti
3.942 0.000 4.152 Zn
0.000 -1.515 2.133 O
0.000 1.515 2.133 O
1.651 0.000 5.769 O
1.798 -2.220 4.049 O
1.798 2.220 4.049 O
2.534 0.000 2.673 O
3.942 -1.462 5.570 O
3.942 1.462 5.570 O
5.349 0.000 2.673 O
6.085 -2.220 4.049 O
6.085 2.220 4.049 O
6.233 0.000 5.769 O
```

Output
Formation energy (no corrections), eV/atom: -2.454
Crystal system: orthorhombic
Volume, Å³ per cell: 222.4

***

No. 3
Entry from Alexandria via LeMat-Bulk: a relaxed Sm5Tl2O2 crystal (GGA-PBE).

Geometry as POSCAR:
```
Sm5Tl2O2
1.0
-3.471 9.532 3.503
3.471 -9.532 3.503
3.471 9.532 -3.503
Sm Tl O
10 4 4
Cartesian
1.736 4.766 -1.752 Sm
1.736 -4.766 1.752 Sm
0.000 2.617 0.480 Sm
1.736 9.325 -1.752 Sm
1.736 -0.207 1.752 Sm
0.000 6.916 0.480 Sm
3.471 2.617 3.023 Sm
-1.736 9.739 1.752 Sm
1.736 9.739 1.752 Sm
3.471 6.916 3.023 Sm
3.471 2.411 -0.134 Tl
3.471 7.121 -0.134 Tl
0.000 2.411 3.637 Tl
0.000 7.121 3.637 Tl
0.000 0.000 0.000 O
3.471 -4.766 3.313 O
0.000 9.532 0.000 O
0.000 14.298 0.191 O
```

Output
Formation energy (no corrections), eV/atom: -1.408
Crystal system: orthorhombic
Volume, Å³ per cell: 463.7

***

No. 4
Entry from Alexandria via LeMat-Bulk: a relaxed Sm12Tl3O5 crystal (GGA-PBE).

Geometry as POSCAR:
```
Sm12Tl3O5
1.0
-8.002 8.002 8.002
8.002 -8.002 8.002
8.002 8.002 -8.002
Sm Tl O
48 12 20
Cartesian
2.353 -0.648 0.786 Sm
9.650 4.787 -4.649 Sm
10.355 0.648 0.786 Sm
9.650 -3.215 4.649 Sm
7.354 -0.786 2.353 Sm
12.651 -1.648 3.215 Sm
0.786 2.353 -0.648 Sm
11.217 3.353 -1.648 Sm
4.787 4.649 -1.648 Sm
7.216 2.353 0.648 Sm
-0.648 0.786 2.353 Sm
4.649 -1.648 4.787 Sm
7.354 7.216 -2.353 Sm
4.649 1.648 3.215 Sm
4.787 -4.649 9.650 Sm
7.216 -2.353 7.354 Sm
3.215 4.649 1.648 Sm
8.788 5.649 0.648 Sm
4.649 9.650 -3.215 Sm
7.354 0.786 5.649 Sm
2.353 7.354 -0.786 Sm
9.650 3.215 3.353 Sm
1.648 3.215 4.649 Sm
2.353 0.648 7.216 Sm
5.649 7.354 0.786 Sm
6.354 4.787 3.353 Sm
-1.648 4.787 4.649 Sm
5.649 0.648 8.788 Sm
0.648 7.216 2.353 Sm
3.353 -1.648 11.217 Sm
-0.786 2.353 7.354 Sm
4.787 3.353 6.354 Sm
0.786 10.355 0.648 Sm
3.215 12.651 -1.648 Sm
3.353 6.354 4.787 Sm
0.648 0.786 10.355 Sm
3.353 9.650 3.215 Sm
8.650 7.216 5.649 Sm
0.786 5.649 7.354 Sm
3.215 3.353 9.650 Sm
-3.215 4.649 9.650 Sm
7.216 5.649 8.650 Sm
-4.649 9.650 4.787 Sm
0.648 8.788 5.649 Sm
-1.648 11.217 3.353 Sm
-2.353 7.354 7.216 Sm
-1.648 3.215 12.651 Sm
5.649 8.650 7.216 Sm
4.001 2.000 0.000 Tl
8.002 4.001 -2.000 Tl
2.000 0.000 4.001 Tl
10.002 0.000 4.001 Tl
0.000 4.001 2.000 Tl
4.001 -2.000 8.002 Tl
4.001 10.002 0.000 Tl
8.002 4.001 6.001 Tl
-2.000 8.002 4.001 Tl
6.001 8.002 4.001 Tl
0.000 4.001 10.002 Tl
4.001 6.001 8.002 Tl
0.000 0.000 0.000 O
4.001 4.001 -4.001 O
4.001 -4.001 4.001 O
8.002 0.000 0.000 O
12.003 2.000 0.000 O
8.002 -4.001 6.001 O
6.001 8.002 -4.001 O
6.001 0.000 4.001 O
4.001 6.001 0.000 O
8.002 4.001 2.000 O
-4.001 4.001 4.001 O
0.000 8.002 0.000 O
0.000 0.000 8.002 O
4.001 4.001 4.001 O
0.000 4.001 6.001 O
4.001 2.000 8.002 O
2.000 8.002 4.001 O
2.000 0.000 12.003 O
0.000 12.003 2.000 O
-4.001 6.001 8.002 O
```

Output
Formation energy (no corrections), eV/atom: -1.477
Crystal system: cubic
Volume, Å³ per cell: 2049.5

***

No. 5
Entry from Alexandria via LeMat-Bulk: a relaxed Sm3TlO6 crystal (GGA-PBE).

Geometry as POSCAR:
```
Sm3TlO6
1.0
4.608 -5.787 0.000
4.608 5.787 0.000
0.000 0.000 5.774
Sm Tl O
6 2 12
Cartesian
4.608 4.630 2.887 Sm
2.796 1.225 2.569 Sm
2.796 -1.225 5.456 Sm
6.420 1.225 2.569 Sm
6.420 -1.225 5.456 Sm
4.608 -4.630 0.000 Sm
4.608 2.108 5.395 Tl
4.608 -2.108 2.508 Tl
3.072 3.094 4.142 O
1.474 0.204 4.172 O
1.474 -0.204 1.285 O
4.608 2.544 1.692 O
6.143 3.094 4.142 O
4.608 0.264 4.173 O
4.608 -0.264 1.286 O
3.072 -3.094 1.255 O
4.608 -2.544 4.579 O
7.741 0.204 4.172 O
7.741 -0.204 1.285 O
6.143 -3.094 1.255 O
```

Output
Formation energy (no corrections), eV/atom: -2.739
Crystal system: orthorhombic
Volume, Å³ per cell: 307.9

***

No. 6
Entry from Alexandria via LeMat-Bulk: a relaxed SmTlO3 crystal (GGA-PBE).

Geometry as POSCAR:
```
SmTlO3
1.0
6.043 0.000 0.000
0.000 8.749 0.000
0.000 0.000 5.690
Sm Tl O
4 4 12
Cartesian
0.402 2.187 0.157 Sm
2.619 6.561 3.002 Sm
3.424 2.187 2.688 Sm
5.641 6.561 5.534 Sm
0.000 0.000 2.845 Tl
0.000 4.374 2.845 Tl
3.021 0.000 0.000 Tl
3.021 4.374 0.000 Tl
0.473 6.561 1.961 O
1.163 5.109 4.581 O
1.163 8.014 4.581 O
1.858 0.734 1.736 O
1.858 3.640 1.736 O
2.549 2.187 4.806 O
3.494 6.561 0.884 O
4.185 5.109 3.955 O
4.185 8.014 3.955 O
4.880 0.734 1.109 O
4.880 3.640 1.109 O
5.570 2.187 3.729 O
```

Output
Formation energy (no corrections), eV/atom: -1.991
Crystal system: orthorhombic
Volume, Å³ per cell: 300.8

***

No. 7
Entry from Alexandria via LeMat-Bulk: a relaxed Sm5Tl2O crystal (GGA-PBE).

Geometry as POSCAR:
```
Sm5Tl2O
1.0
8.862 0.000 0.000
0.000 6.813 0.000
0.000 0.000 14.464
Sm Tl O
20 8 4
Cartesian
0.000 0.000 0.000 Sm
0.000 3.407 0.000 Sm
0.439 1.703 3.005 Sm
1.203 3.421 8.765 Sm
1.203 6.799 8.765 Sm
2.003 5.110 5.499 Sm
2.428 1.703 12.731 Sm
3.228 0.015 1.533 Sm
3.228 3.392 1.533 Sm
3.992 5.110 10.237 Sm
4.431 0.000 7.232 Sm
4.431 3.407 7.232 Sm
4.870 1.703 4.227 Sm
5.634 3.421 12.931 Sm
5.634 6.799 12.931 Sm
6.434 5.110 1.733 Sm
6.859 1.703 8.965 Sm
7.659 0.015 5.699 Sm
7.659 3.392 5.699 Sm
8.423 5.110 11.459 Sm
0.525 5.110 2.805 Tl
1.787 1.703 5.912 Tl
2.644 5.110 13.144 Tl
3.906 1.703 10.037 Tl
4.956 5.110 4.427 Tl
6.218 1.703 1.320 Tl
7.075 5.110 8.552 Tl
8.337 1.703 11.659 Tl
1.638 1.703 0.721 O
2.793 5.110 7.953 O
6.069 1.703 6.511 O
7.224 5.110 13.743 O
```

Output
Formation energy (no corrections), eV/atom: -0.859
Crystal system: orthorhombic
Volume, Å³ per cell: 873.3

***

No. 8
Entry from Alexandria via LeMat-Bulk: a relaxed Sm4Tl2O crystal (GGA-PBE).

Geometry as POSCAR:
```
Sm4Tl2O
1.0
2.490 -7.633 0.000
2.490 7.633 0.000
0.000 0.000 4.718
Sm Tl O
4 2 1
Cartesian
0.000 0.000 0.000 Sm
2.490 5.050 2.359 Sm
2.490 0.000 2.359 Sm
2.490 -5.050 2.359 Sm
2.490 2.379 0.000 Tl
2.490 -2.379 0.000 Tl
0.000 0.000 2.359 O
```

Output
Formation energy (no corrections), eV/atom: -1.024
Crystal system: orthorhombic
Volume, Å³ per cell: 179.3

***

No. 9
Entry from Alexandria via LeMat-Bulk: a relaxed Sm7Tl4O crystal (GGA-PBE).

Geometry as POSCAR:
```
Sm7Tl4O
1.0
8.704 -2.474 0.000
8.704 2.474 0.000
-7.153 0.000 8.642
Sm Tl O
7 4 1
Cartesian
0.000 0.000 0.000 Sm
-1.747 0.000 4.713 Sm
3.872 0.000 1.300 Sm
2.338 0.000 6.516 Sm
7.917 0.000 2.126 Sm
6.382 0.000 7.341 Sm
12.001 0.000 3.929 Sm
-4.257 0.000 6.897 Tl
1.250 0.000 3.219 Tl
9.005 0.000 5.423 Tl
14.511 0.000 1.744 Tl
8.704 0.000 0.000 O
```

Output
Formation energy (no corrections), eV/atom: -0.553
Crystal system: monoclinic
Volume, Å³ per cell: 372.1

***

No. 10
Entry from Alexandria via LeMat-Bulk: a relaxed Sm7Tl3O2 crystal (GGA-PBE).

Geometry as POSCAR:
```
Sm7Tl3O2
1.0
2.478 -12.510 0.000
2.478 12.510 0.000
0.000 0.000 4.805
Sm Tl O
7 3 2
Cartesian
0.000 0.000 0.000 Sm
2.478 10.123 2.402 Sm
2.478 7.495 0.000 Sm
2.478 2.554 0.000 Sm
2.478 -2.554 0.000 Sm
2.478 -7.495 0.000 Sm
2.478 -10.123 2.402 Sm
2.478 4.817 2.402 Tl
2.478 0.000 2.402 Tl
2.478 -4.817 2.402 Tl
2.478 10.016 0.000 O
2.478 -10.016 0.000 O
```

Output
Formation energy (no corrections), eV/atom: -1.168
Crystal system: orthorhombic
Volume, Å³ per cell: 297.9

***

No. 11
Entry from Alexandria via LeMat-Bulk: a relaxed Sm6Tl2O crystal (GGA-PBE).

Geometry as POSCAR:
```
Sm6Tl2O
1.0
3.637 0.000 0.000
0.000 7.628 4.626
0.000 -7.628 4.626
Sm Tl O
6 2 1
Cartesian
0.000 0.000 0.000 Sm
0.000 -1.647 6.112 Sm
0.000 1.647 6.112 Sm
1.818 -4.474 4.504 Sm
1.818 0.000 3.280 Sm
1.818 4.474 4.504 Sm
0.000 -2.607 2.549 Tl
0.000 2.607 2.549 Tl
1.818 0.000 5.511 O
```

Output
E above lowest polymorph, eV/atom: 0.089
Formation energy (no corrections), eV/atom: -0.693
Crystal system: orthorhombic
Volume, Å³ per cell: 256.7

***

No. 12
Entry from Alexandria via LeMat-Bulk: a relaxed SmTlO3 crystal (GGA-PBE).

Geometry as POSCAR:
```
SmTlO3
1.0
5.707 0.000 0.000
0.000 3.860 0.000
-1.343 0.000 8.018
Sm Tl O
2 2 6
Cartesian
0.793 0.965 3.166 Sm
3.571 2.895 4.852 Sm
0.984 0.965 6.735 Tl
3.380 2.895 1.282 Tl
-0.596 0.965 5.210 O
2.098 0.965 0.893 O
2.093 2.895 3.075 O
2.271 0.965 4.943 O
2.265 2.895 7.125 O
4.960 2.895 2.808 O
```

Output
Formation energy (no corrections), eV/atom: -2.005
Crystal system: monoclinic
Volume, Å³ per cell: 176.6

***

No. 13
Entry from Alexandria via LeMat-Bulk: a relaxed Sm6Tl2O crystal (GGA-PBE).

Geometry as POSCAR:
```
Sm6Tl2O
1.0
0.000 4.972 4.972
4.972 0.000 4.972
4.972 4.972 0.000
Sm Tl O
6 2 1
Cartesian
4.972 4.972 2.453 Sm
4.972 2.453 4.972 Sm
7.492 4.972 4.972 Sm
2.453 4.972 4.972 Sm
4.972 7.492 4.972 Sm
4.972 4.972 7.492 Sm
2.486 2.486 2.486 Tl
7.459 7.459 7.459 Tl
0.000 0.000 0.000 O
```

Output
E above lowest polymorph, eV/atom: 0.000
Formation energy (no corrections), eV/atom: -0.782
Crystal system: cubic
Volume, Å³ per cell: 245.9

***

No. 14
Entry from Alexandria via LeMat-Bulk: a relaxed SmTlO3 crystal (GGA-PBE).

Geometry as POSCAR:
```
SmTlO3
1.0
3.410 0.000 0.000
0.000 5.730 0.000
0.000 0.000 7.211
Sm Tl O
2 2 6
Cartesian
0.853 1.433 1.052 Sm
2.558 4.298 6.159 Sm
0.853 4.298 2.822 Tl
2.558 1.433 4.389 Tl
0.853 2.994 4.823 O
0.853 4.298 0.423 O
0.853 5.602 4.823 O
2.558 0.129 2.388 O
2.558 1.433 6.788 O
2.558 2.737 2.388 O
```

Output
Formation energy (no corrections), eV/atom: -1.908
Crystal system: orthorhombic
Volume, Å³ per cell: 140.9

***

No. 15
Entry from Alexandria via LeMat-Bulk: a relaxed Sm6Tl3O crystal (GGA-PBE).

Geometry as POSCAR:
```
Sm6Tl3O
1.0
6.624 0.000 0.000
0.000 8.301 0.000
-5.770 0.000 10.335
Sm Tl O
12 6 2
Cartesian
-0.823 0.415 2.333 Sm
-3.708 3.736 7.501 Sm
0.783 6.025 0.597 Sm
-2.102 6.426 5.764 Sm
2.271 1.173 0.515 Sm
-0.614 2.978 5.683 Sm
1.469 5.323 4.652 Sm
-1.416 7.128 9.820 Sm
2.956 1.875 4.571 Sm
0.071 2.276 9.738 Sm
4.562 4.565 2.834 Sm
1.677 7.887 8.002 Sm
-2.077 0.955 7.602 Tl
0.808 3.196 2.435 Tl
0.427 0.000 5.167 Tl
3.312 4.151 0.000 Tl
0.047 5.105 7.900 Tl
2.931 7.346 2.733 Tl
0.000 0.000 0.000 O
-2.885 4.151 5.167 O
```

Output
Formation energy (no corrections), eV/atom: -0.711
Crystal system: monoclinic
Volume, Å³ per cell: 568.3

***

| no. | total moment (μB per formula unit) | density (Mg/m³) |
| --- | --- | --- |
| 1 | 0.000 | 6.97 |
| 2 | 3.029 | 4.47 |
| 3 | 0.000 | 8.54 |
| 4 | 0.638 | 8.09 |
| 5 | 0.000 | 8.11 |
| 6 | 0.000 | 8.89 |
| 7 | 0.001 | 8.95 |
| 8 | 0.000 | 9.50 |
| 9 | 0.000 | 8.42 |
| 10 | 0.000 | 9.46 |
| 11 | 0.418 | 8.59 |
| 12 | 0.000 | 7.57 |
| 13 | 0.000 | 8.96 |
| 14 | 0.000 | 9.49 |
| 15 | 0.000 | 8.95 |